Rb2AlAuBr6 after structural relaxation, computed with PBE.

Cell and atoms, written as extended XYZ:
```
10
Lattice="7.5726 0.0000 0.0000 0.0000 7.5726 0.0000 3.7863 3.7863 5.5754" Properties=species:S:1:pos:R:3 pbc="T T T"
Au 0.0000 0.0000 0.0000
Br 1.9546 5.6180 0.0000
Br 5.6180 1.9546 0.0000
Rb 7.5726 3.7863 2.7877
Br 1.9546 1.9546 0.0000
Br 3.7863 3.7863 2.4838
Br 5.6180 5.6180 0.0000
Br 7.5726 7.5726 3.0916
Al 3.7863 3.7863 0.0000
Rb 3.7863 7.5726 2.7877
```

Computed properties:
Total energy, eV/f.u.: -29.74
ΔE to the lowest computed polymorph, eV/atom: 0.134
Symmetry: I4/mmm (139)

=====

Rb2AlAuBr6 after structural relaxation, computed with PBE.

Cell and atoms, written as extended XYZ:
```
10
Lattice="-3.4839 -2.2936 -8.4723 1.9117 -6.9077 -2.6415 -4.7822 -5.2703 1.6444" Properties=species:S:1:pos:R:3 pbc="T T T"
Br -2.4827 -3.5771 -3.6892
Al -0.7644 -3.0733 -2.2042
Br 0.2810 -8.2998 -3.4451
Br -4.6309 -10.0465 -4.8552
Br -3.6037 -7.5953 -1.5790
Br -0.3353 -4.9797 -0.9361
Rb -2.3933 -7.2130 -5.9556
Br -5.7003 -6.3821 -5.7071
Rb -4.0107 -4.2107 -0.1023
Au -4.1880 -11.6535 -6.6150
```

Computed properties:
Total energy, eV/f.u.: -31.08
ΔE to the lowest computed polymorph, eV/atom: 0.000
Symmetry: P1 (1)

=====

RbAl2AuBr after structural relaxation, computed with PBE.

Cell and atoms, written as extended XYZ:
```
5
Lattice="-2.5946 -0.8482 -3.9998 -6.1272 -0.7710 4.1380 -0.8870 4.7411 -0.4300" Properties=species:S:1:pos:R:3 pbc="T T T"
Br -4.8043 1.5610 -0.1459
Al -0.4435 2.3705 -0.2150
Al -1.2973 -0.4241 -1.9999
Au 0.0000 0.0000 0.0000
Rb -3.0636 -0.3855 2.0690
```

Computed properties:
Total energy, eV/f.u.: -15.20
Symmetry: P4/mmm (123)

=====

Energy relative to the elements, uncorrected (computed, meV/atom): -1075 -1209 -359
Mass density (computed, Mg/m³): 4.5 3.4 4.0
Spin magnetization (computed, μB per cell): 0.00 0.00 0.00